DFT (SCAN) results for a PBEsol-optimized structure of ReRu2Br.

Results
* uncorrected formation energy: 0.7491 eV/atom
* energy above the lowest structure with this stoichiometry: 4.18 kcal/mol of atoms
* Fermi-level density of states: 3.5 states/eV/f.u.
* energy: -39.303 eV/atom

a b c (Å): 2.826 2.826 8.678
angles (deg): 80.63 80.63 60.00
Element x y z (fractional)
Ru1 0.749 0.749 0.754
Br1 0.499 0.499 0.503
Ru2 0.000 0.000 0.000
Re1 0.252 0.252 0.243